# 1
Here is Ho6InSi2 after structural relaxation from Alexandria. Energies are from GGA-PBE.

Lattice parameters (Å, degrees): 8.473 8.473 8.473 112.13 110.99 105.37
Positions (direct):
Ho 0.037 0.241 0.796
Ho 0.185 0.277 0.462
Ho 0.185 0.723 0.908
Ho 0.320 0.024 0.703
Ho 0.320 0.617 0.297
Ho 0.446 0.241 0.204
Ho 0.554 0.759 0.796
Ho 0.680 0.383 0.703
Ho 0.680 0.976 0.297
Ho 0.815 0.277 0.092
Ho 0.815 0.723 0.538
Ho 0.963 0.759 0.204
In 0.000 0.000 0.000
In 0.500 0.500 0.000
Si 0.116 0.616 0.500
Si 0.368 0.000 0.368
Si 0.632 0.000 0.632
Si 0.884 0.384 0.500

Output
As for the energy relative to the elements, uncorrected: -0.5374 eV/atom. The density comes out at 8.3 g/cm3.

***

# 2
Here is Sr2ReRh2 after structural relaxation from Alexandria. Energies are from GGA-PBE.

Lattice parameters (Å, degrees): 6.658 6.658 5.042 90.00 90.00 90.00
Positions (direct):
Sr 0.179 0.321 0.000
Sr 0.321 0.821 0.000
Sr 0.679 0.179 0.000
Sr 0.821 0.679 0.000
Re 0.000 0.000 0.500
Re 0.500 0.500 0.500
Rh 0.144 0.644 0.500
Rh 0.356 0.144 0.500
Rh 0.644 0.856 0.500
Rh 0.856 0.356 0.500

Output
The density comes out at 8.4 g/cm3. For the formation energy from the elements, the calculation gives 0.143 eV/atom.

***

# 3
Here is La5CdTe8 after structural relaxation from Alexandria. Energies are from GGA-PBE.

Lattice parameters (Å, degrees): 8.406 8.406 8.406 109.76 109.76 108.90
Positions (direct):
La 0.000 0.000 0.000
La 0.254 0.632 0.121
La 0.368 0.489 0.621
La 0.511 0.132 0.879
La 0.868 0.746 0.379
Cd 0.750 0.250 0.500
Te 0.118 0.224 0.754
Te 0.141 0.741 0.759
Te 0.259 0.018 0.401
Te 0.470 0.364 0.246
Te 0.617 0.859 0.599
Te 0.636 0.882 0.106
Te 0.776 0.530 0.894
Te 0.982 0.383 0.241

Output
As for the energy relative to the elements, uncorrected: -1.4198 eV/atom. The density comes out at 6.6 g/cm3.

***

# 4
Here is ZrTlF5 after structural relaxation from Alexandria. Energies are from GGA-PBE.

Lattice parameters (Å, degrees): 4.277 6.677 9.366 90.00 90.00 90.00
Positions (direct):
Zr 0.000 0.000 0.000
Zr 0.500 0.500 0.500
Tl 0.000 0.000 0.500
Tl 0.500 0.500 0.000
F 0.000 0.222 0.144
F 0.000 0.222 0.856
F 0.000 0.500 0.500
F 0.000 0.778 0.144
F 0.000 0.778 0.856
F 0.500 0.000 0.000
F 0.500 0.278 0.356
F 0.500 0.278 0.644
F 0.500 0.722 0.356
F 0.500 0.722 0.644

Output
As for the energy relative to the elements, uncorrected: -3.1049 eV/atom. The density comes out at 4.9 g/cm3. As for the energy above the most stable polymorph in this dataset: 84 meV per atom.

***

# 5
Here is PrNdNiRh after structural relaxation from Alexandria. Energies are from GGA-PBE.

Lattice parameters (Å, degrees): 7.074 7.074 7.074 90.00 90.00 90.00
Positions (direct):
Pr 0.000 0.000 0.000
Pr 0.000 0.500 0.500
Pr 0.500 0.000 0.500
Pr 0.500 0.500 0.000
Nd 0.000 0.000 0.500
Nd 0.000 0.500 0.000
Nd 0.500 0.000 0.000
Nd 0.500 0.500 0.500
Ni 0.250 0.250 0.250
Ni 0.250 0.750 0.750
Ni 0.750 0.250 0.750
Ni 0.750 0.750 0.250
Rh 0.250 0.250 0.750
Rh 0.250 0.750 0.250
Rh 0.750 0.250 0.250
Rh 0.750 0.750 0.750

Output
The density comes out at 8.4 g/cm3. For the formation energy from the elements, the calculation gives -0.425 eV/atom. As for the energy above the most stable polymorph in this dataset: 76 meV per atom.

***

# 6
Here is PrPaVN3 after structural relaxation from Alexandria. Energies are from GGA-PBE.

Lattice parameters (Å, degrees): 7.252 3.523 7.888 90.00 98.66 90.00
Positions (direct):
Pr 0.157 0.250 0.164
Pr 0.843 0.750 0.836
Pa 0.352 0.750 0.833
Pa 0.648 0.250 0.167
V 0.083 0.250 0.598
V 0.917 0.750 0.402
N 0.124 0.250 0.847
N 0.166 0.750 0.537
N 0.428 0.750 0.126
N 0.572 0.250 0.874
N 0.834 0.250 0.463
N 0.876 0.750 0.153

Output
As for the energy relative to the elements, uncorrected: -1.2115 eV/atom. The density comes out at 7.7 g/cm3.

***

# 7
Here is Nd4Co2Br5 after structural relaxation from Alexandria. Energies are from GGA-PBE.

Lattice parameters (Å, degrees): 10.585 10.585 10.585 157.66 133.11 52.53
Positions (direct):
Nd 0.182 0.182 0.000
Nd 0.213 0.500 0.713
Nd 0.787 0.500 0.287
Nd 0.818 0.818 0.000
Co 0.056 0.056 0.000
Co 0.944 0.944 0.000
Br 0.099 0.331 0.769
Br 0.438 0.669 0.769
Br 0.500 0.000 0.500
Br 0.562 0.331 0.231
Br 0.901 0.669 0.231

Output
As for the energy relative to the elements, uncorrected: -1.0185 eV/atom. The density comes out at 5.5 g/cm3.

***

# 8
Here is NdBeGa2Cu4 after structural relaxation from Alexandria. Energies are from GGA-PBE.

Lattice parameters (Å, degrees): 8.741 8.741 8.741 27.22 27.22 27.22
Positions (direct):
Nd 0.000 0.000 0.000
Be 0.500 0.500 0.500
Ga 0.243 0.243 0.243
Ga 0.757 0.757 0.757
Cu 0.140 0.140 0.140
Cu 0.412 0.412 0.412
Cu 0.588 0.588 0.588
Cu 0.860 0.860 0.860

Output
The density comes out at 7.4 g/cm3. For the formation energy from the elements, the calculation gives -0.205 eV/atom.

***

# 9
Here is MnTc2Br after structural relaxation from Alexandria. Energies are from GGA-PBE.

Lattice parameters (Å, degrees): 3.041 3.041 6.518 90.00 90.00 90.00
Positions (direct):
Mn 0.000 0.000 0.000
Tc 0.500 0.500 0.219
Tc 0.500 0.500 0.781
Br 0.000 0.000 0.500

Output
As for the energy relative to the elements, uncorrected: 0.5377 eV/atom. The density comes out at 9.1 g/cm3. As for the energy above the most stable polymorph in this dataset: 237 meV per atom.

***

# 10
Here is LaPr2TiN4 after structural relaxation from Alexandria. Energies are from GGA-PBE.

Lattice parameters (Å, degrees): 6.349 6.349 12.492 90.00 90.00 147.63
Positions (direct):
La 0.101 0.899 0.750
La 0.899 0.101 0.250
Pr 0.369 0.631 0.540
Pr 0.369 0.631 0.960
Pr 0.631 0.369 0.040
Pr 0.631 0.369 0.460
Ti 0.169 0.831 0.250
Ti 0.831 0.169 0.750
N 0.000 0.000 0.000
N 0.000 0.000 0.500
N 0.269 0.731 0.135
N 0.269 0.731 0.365
N 0.421 0.579 0.750
N 0.579 0.421 0.250
N 0.731 0.269 0.635
N 0.731 0.269 0.865

Output
As for the energy relative to the elements, uncorrected: -1.2764 eV/atom. The density comes out at 6.5 g/cm3.

***

# 11
Here is YTaBe2 after structural relaxation from Alexandria. Energies are from GGA-PBE.

Lattice parameters (Å, degrees): 7.015 4.095 5.420 90.00 115.95 90.00
Positions (direct):
Y 0.000 0.000 0.000
Y 0.500 0.500 0.000
Ta 0.000 0.500 0.500
Ta 0.500 0.000 0.500
Be 0.204 0.000 0.619
Be 0.296 0.500 0.381
Be 0.704 0.500 0.619
Be 0.796 0.000 0.381

Output
The density comes out at 6.8 g/cm3. For the formation energy from the elements, the calculation gives 0.305 eV/atom. As for the energy above the most stable polymorph in this dataset: 198 meV per atom.

***

# 12
Here is Cs2AlSnF6 after structural relaxation from Alexandria. Energies are from GGA-PBE.

Lattice parameters (Å, degrees): 7.005 7.005 7.005 128.90 128.90 75.16
Positions (direct):
Cs 0.250 0.750 0.500
Cs 0.750 0.250 0.500
Al 0.000 0.000 0.000
Sn 0.500 0.500 0.000
F 0.163 0.163 0.000
F 0.218 0.218 0.435
F 0.218 0.782 0.000
F 0.782 0.218 0.000
F 0.782 0.782 0.565
F 0.837 0.837 0.000

Output
As for the energy relative to the elements, uncorrected: -2.7912 eV/atom. The density comes out at 4.3 g/cm3.